Entry 1:
# Te2ICl

An optimized crystal structure of Te2ICl (PBE, Alexandria via LeMat-Bulk).

Lattice parameters (Å, degrees): 5.4113 5.4113 18.4842 90.00 90.00 120.00
Space group R-3m (No. 166, hexagonal axes)
Inequivalent atoms, fractional coordinates:
Te  0.0000  0.0000  0.1607 x6
I  0.0000  0.0000  0.0000 x3
Cl  0.0000  0.0000  0.5000 x3

**Electronic total energy**: -2.441 eV/atom
**DOS at the Fermi energy**: 4.9 states/eV per cell
**Volume**: 468.74 Å³/cell
**Relative energy among the computed polymorphs**: 0 meV per atom
**Uncorrected formation energy**: -21 meV per atom

Entry 2:
# TeI4Cl

An optimized crystal structure of TeI4Cl (PBE, Alexandria via LeMat-Bulk).

Lattice parameters (Å, degrees): 19.8115 9.4073 6.4571 90.00 100.53 90.00
Space group C2/m (No. 12)
Inequivalent atoms, fractional coordinates:
Te  0.0707  0.0000  0.3490 x4
I  0.0000  0.2245  0.0000 x4
I  0.1182  0.2258  0.6237 x8
I  0.2039  0.0000  0.1952 x4
Cl  0.1868  0.5000  0.9504 x4

**Electronic total energy**: -1.897 eV/atom
**DOS at the Fermi energy**: 19.0 states/eV per cell
**Volume**: 1183.16 Å³/cell
**Uncorrected formation energy**: -32 meV per atom

Entry 3:
# TeI2Cl2

An optimized crystal structure of TeI2Cl2 (PBE, Alexandria via LeMat-Bulk).

Lattice parameters (Å, degrees): 4.2830 4.2830 20.7238 90.00 90.00 90.00
Space group I4/mmm (No. 139)
Inequivalent atoms, fractional coordinates:
Te  0.0000  0.0000  0.0000 x2
I  0.0000  0.5000  0.2500 x4
Cl  0.0000  0.0000  0.4239 x4

**Electronic total energy**: -1.600 eV/atom
**DOS at the Fermi energy**: 8.0 states/eV per cell
**Volume**: 380.15 Å³/cell
**Relative energy among the computed polymorphs**: 103 meV per atom
**Uncorrected formation energy**: 387 meV per atom

Entry 4:
# TeI3Cl

An optimized crystal structure of TeI3Cl (PBE, Alexandria via LeMat-Bulk).

Lattice parameters (Å, degrees): 6.5252 7.6136 9.4546 90.06 90.00 93.52
Space group P-1 (No. 2)
Inequivalent atoms, fractional coordinates:
Te  0.0689  0.4502  0.2499 x2
I  0.2763  0.3170  0.0176 x2
I  0.2760  0.3169  0.4823 x2
I  0.4336  0.7762  0.2501 x2
Cl  0.2099  0.7733  0.7506 x2

**Electronic total energy**: -2.118 eV/atom
**Volume**: 468.82 Å³/cell
**Relative energy among the computed polymorphs**: 15 meV per atom
**Uncorrected formation energy**: -191 meV per atom